1.
Material: Ta2AlTl
Method: DFT, PBE-GGA
State: relaxed

Unit cell a=3.0122 b=3.0122 c=29.1832 alpha=90.00 beta=90.00 gamma=120.00
Space group R-3m (No. 166, hexagonal axes)
Asymmetric unit:
Ta: 0.0000 0.0000 0.2463 x6
Al: 0.0000 0.0000 0.5000 x3
Tl: 0.0000 0.0000 0.0000 x3

Calculated values
**Magnetic moment**: 0.00 μB per formula unit
**Formation enthalpy at 0 K**: 0.30 eV per atom

***

2.
Material: Ac2AlBr
Method: DFT, PBE-GGA
State: relaxed

Unit cell a=3.783 b=3.783 c=8.816 alpha=90.00 beta=90.00 gamma=90.00
Space group P4/mmm (No. 123)
Asymmetric unit:
Ac: 0.000 0.000 0.232 x2
Al: 0.500 0.500 0.000 x1
Br: 0.500 0.500 0.500 x1

Calculated values
**Magnetic moment**: 0.00 μB per formula unit
**Raw formation energy**: -275 kJ/mol of formula units

***

3.
Material: Mg3ZrGe
Method: DFT, PBE-GGA
State: relaxed

Unit cell a=4.973 b=4.973 c=4.973 alpha=90.00 beta=90.00 gamma=90.00
Space group Pm-3m (No. 221)
Asymmetric unit:
Mg: 0.000 0.000 0.500 x3
Zr: 0.500 0.500 0.500 x1
Ge: 0.000 0.000 0.000 x1

Calculated values
**Magnetic moment**: 0.00 μB per formula unit
**Formation enthalpy at 0 K**: 0.55 eV per atom

***

4.
Material: Sc2BeNi
Method: DFT, PBE-GGA
State: relaxed

Unit cell a=3.044 b=4.429 c=9.516 alpha=90.00 beta=90.00 gamma=90.00
Space group Imm2 (No. 44)
Asymmetric unit:
Sc: 0.000 0.000 0.000 x2
Sc: 0.000 0.500 0.207 x2
Be: 0.000 0.500 0.782 x2
Ni: 0.000 0.000 0.452 x2

Calculated values
**Magnetic moment**: 0.00 μB per formula unit
**Formation enthalpy at 0 K**: -0.17 eV per atom

***

5.
Material: Nd2Zn4Ga3Pt
Method: DFT, PBE-GGA
State: relaxed

Unit cell a=4.258 b=4.258 c=10.585 alpha=90.00 beta=90.00 gamma=90.00
Space group P-4m2 (No. 115)
Asymmetric unit:
Nd: 0.000 0.500 0.246 x2
Zn: 0.000 0.000 0.500 x1
Zn: 0.000 0.500 0.865 x2
Zn: 0.500 0.500 0.500 x1
Ga: 0.000 0.000 0.000 x1
Ga: 0.000 0.500 0.635 x2
Pt: 0.500 0.500 0.000 x1

Calculated values
**Magnetic moment**: 0.00 μB per formula unit
**Formation enthalpy at 0 K**: -0.53 eV per atom

***

6.
Material: SmTl4F7
Method: DFT, PBE-GGA
State: relaxed

Unit cell a=19.801 b=4.472 c=6.653 alpha=90.00 beta=107.62 gamma=90.00
Space group C2/m (No. 12)
Asymmetric unit:
Sm: 0.000 0.000 0.000 x2
Tl: 0.095 0.500 0.571 x4
Tl: 0.204 0.500 0.175 x4
F: 0.000 0.500 0.000 x2
F: 0.076 0.000 0.807 x4
F: 0.095 0.000 0.294 x4
F: 0.221 0.500 0.810 x4

Calculated values
**Magnetic moment**: 0.00 μB per formula unit
**Raw formation energy**: -2908 kJ/mol of formula units

***

7.
Material: LaGdScGa
Method: DFT, PBE-GGA
State: relaxed

Unit cell a=7.541 b=7.541 c=7.541 alpha=90.00 beta=90.00 gamma=90.00
Space group F-43m (No. 216)
Asymmetric unit:
La: 0.000 0.000 0.000 x4
Gd: 0.000 0.000 0.500 x4
Sc: 0.250 0.250 0.750 x4
Ga: 0.250 0.250 0.250 x4

Calculated values
**Magnetic moment**: 8.34 μB per formula unit
**Formation enthalpy at 0 K**: -0.17 eV per atom

***

8.
Material: Ca2Ho3NpN6
Method: DFT, PBE-GGA
State: relaxed

Unit cell a=5.998 b=10.378 c=5.965 alpha=90.00 beta=109.48 gamma=90.00
Space group C2/m (No. 12)
Asymmetric unit:
Ca: 0.000 0.167 0.000 x4
Ho: 0.000 0.000 0.500 x2
Ho: 0.000 0.332 0.500 x4
Np: 0.000 0.500 0.000 x2
N: 0.216 0.500 0.760 x4
N: 0.238 0.347 0.254 x8

Calculated values
**Magnetic moment**: 1.99 μB per formula unit
**Raw formation energy**: -1676 kJ/mol of formula units

***

- magnetic moment of number 7 (LaGdScGa)?
  8.34 μB per formula unit